[1]
This record from Alexandria describes a relaxed PrScCd2Hg4 crystal. The functional is PBE.

The volume comes out at 23.4 Å³/atom. Its size of the total moment is 0.0 μB/f.u.

The structure belongs to space group R-3m (No. 166, hexagonal axes); the cell edges are 5.0690, 5.0690 and 25.1943 Å and the angles 90.00°, 90.00° and 120.00°. The distinct sites, in fractional coordinates, are Pr at (0.0000, 0.0000, 0.0000), Sc at (0.0000, 0.0000, 0.5000), Cd at (0.0000, 0.0000, 0.2511), Hg at (0.0000, 0.0000, 0.1307) and Hg at (0.0000, 0.0000, 0.3825).



[2]
This record from Alexandria describes a relaxed PrSmCdHg crystal. The functional is PBE.

As for the energy above the most stable polymorph in this dataset: 0 meV per atom. The volume comes out at 28.3 Å³/atom. Its size of the total moment is 0.8 μB/f.u.

The structure belongs to space group P4mm (No. 99); the cell edges are 3.8336, 3.8336 and 7.7010 Å and the angles 90.00°, 90.00° and 90.00°. The distinct sites, in fractional coordinates, are Pr at (0.0000, 0.0000, 0.0000), Sm at (0.0000, 0.0000, 0.4960), Cd at (0.5000, 0.5000, 0.7394) and Hg at (0.5000, 0.5000, 0.2603).



[3]
This record from Alexandria describes a relaxed PrSmCdHg crystal. The functional is PBE.

As for the energy above the most stable polymorph in this dataset: 4 meV per atom. The volume comes out at 28.3 Å³/atom. Its size of the total moment is 1.0 μB/f.u.

The structure belongs to space group F-43m (No. 216); the cell edges are 7.6763, 7.6763 and 7.6763 Å and the angles 90.00°, 90.00° and 90.00°. The distinct sites, in fractional coordinates, are Pr at (0.0000, 0.0000, 0.0000), Sm at (0.0000, 0.0000, 0.5000), Cd at (0.2500, 0.2500, 0.2500) and Hg at (0.2500, 0.2500, 0.7500).



Results for ΔE_f: -0.33; -0.39; -0.39 (in eV per atom, following the order of the records).